Material: Ti4Tc2Ge
Method: DFT, PBE-GGA
State: relaxed

Cell and atoms, written as POSCAR:
```
Ti4Tc2Ge
1.0
-1.3395 -2.0591 -3.9368
4.0871 -2.1831 -0.2488
-0.9605 -6.8645 1.1823
Ge Tc Ti
1 2 4
direct
0.0000 0.0000 0.0000
0.3821 0.3821 0.2358
0.6179 0.6179 0.7642
0.2009 0.2009 0.5983
0.7991 0.7991 0.4017
0.0000 0.5000 0.0000
0.5000 0.0000 0.0000
```

Total DFT energy (no corrections) (eV per cell): -53.29
Formation enthalpy at 0 K (eV per atom): 0.52